Entry 1:
Here is a geometry-optimized KSe3 structure from the Alexandria database. Energies are from PBE.

The space group is Cmmm (No. 65) and the conventional cell measures 6.197, 7.659 and 4.062 Å, with angles of 90.00, 90.00 and 90.00 degrees. The asymmetric unit holds K at (0.000, 0.000, 0.000), Se at (0.000, 0.500, 0.000) and Se at (0.250, 0.250, 0.500).

The value obtained for the energy above the most stable polymorph in this dataset is 429 meV per atom. For the total energy, the calculation gives -23.470 eV for the cell shown. As for the uncorrected formation energy: -0.0460 eV/atom.

---

Entry 2:
Here is a geometry-optimized LiSc2Tl structure from the Alexandria database. Energies are from PBE.

The space group is R3m (No. 160, hexagonal axes) and the conventional cell measures 3.3182, 3.3182 and 30.2626 Å, with angles of 90.00, 90.00 and 120.00 degrees. The asymmetric unit holds Li at (0.0000, 0.0000, 0.0000), Sc at (0.0000, 0.0000, 0.5825), Sc at (0.0000, 0.0000, 0.7508) and Tl at (0.0000, 0.0000, 0.1666).

Its formation energy is 0.05 eV/atom. For the total energy, the calculation gives -50.256 eV for the cell shown.

---

Entry 3:
Here is a geometry-optimized TlZnFe2 structure from the Alexandria database. Energies are from PBE.

The space group is Cmmm (No. 65) and the conventional cell measures 5.469, 8.050 and 2.828 Å, with angles of 90.00, 90.00 and 90.00 degrees. The asymmetric unit holds Tl at (0.000, 0.000, 0.000), Zn at (0.000, 0.500, 0.000) and Fe at (0.250, 0.250, 0.500).

The value obtained for the energy above the most stable polymorph in this dataset is 164 meV per atom. Its formation energy is 0.46 eV/atom. For the total energy, the calculation gives -37.476 eV for the cell shown.

---

Entry 4:
Here is a geometry-optimized Pr2GaGePd6 structure from the Alexandria database. Energies are from PBE.

The space group is C2/m (No. 12) and the conventional cell measures 11.914, 5.542 and 8.445 Å, with angles of 90.00, 134.19 and 90.00 degrees. The asymmetric unit holds Pr at (0.018, 0.000, 0.269), Ga at (0.000, 0.500, 0.500), Ge at (0.000, 0.500, 0.000), Pd at (0.158, 0.500, 0.906) and Pd at (0.248, 0.250, 0.270).

Its formation energy is -0.68 eV/atom. For the total energy, the calculation gives -110.387 eV for the cell shown.

---

Entry 5:
Here is a geometry-optimized Sc6Cd3Ir structure from the Alexandria database. Energies are from PBE.

The space group is P2_1/m (No. 11) and the conventional cell measures 8.580, 4.935 and 10.621 Å, with angles of 90.00, 107.40 and 90.00 degrees. The asymmetric unit holds Sc at (0.042, 0.250, 0.416), Sc at (0.189, 0.750, 0.171), Sc at (0.281, 0.250, 0.005), Sc at (0.348, 0.750, 0.824), Sc at (0.372, 0.250, 0.334), Sc at (0.401, 0.250, 0.640), Cd at (0.014, 0.750, 0.877), Cd at (0.097, 0.250, 0.720), Cd at (0.276, 0.750, 0.477) and Ir at (0.459, 0.750, 0.096).

Its formation energy is -0.39 eV/atom. For the total energy, the calculation gives -106.911 eV for the cell shown.

---

Entry 6:
Here is a geometry-optimized InCuNiHg structure from the Alexandria database. Energies are from PBE.

The space group is F-43m (No. 216) and the conventional cell measures 6.387, 6.387 and 6.387 Å, with angles of 90.00, 90.00 and 90.00 degrees. The asymmetric unit holds In at (0.000, 0.000, 0.000), Cu at (0.250, 0.250, 0.250), Ni at (0.250, 0.250, 0.750) and Hg at (0.000, 0.000, 0.500).

Its formation energy is 0.10 eV/atom. For the total energy, the calculation gives -50.027 eV for the cell shown.

---

Entry 7:
Here is a geometry-optimized Mg2Pd2Pt structure from the Alexandria database. Energies are from PBE.

The space group is Ibam (No. 72) and the conventional cell measures 6.185, 11.092 and 5.209 Å, with angles of 90.00, 90.00 and 90.00 degrees. The asymmetric unit holds Mg at (0.231, 0.171, 0.000), Pd at (0.145, 0.407, 0.000) and Pt at (0.000, 0.000, 0.250).

The value obtained for the energy above the most stable polymorph in this dataset is 74 meV per atom. Its formation energy is -0.45 eV/atom. For the total energy, the calculation gives -87.513 eV for the cell shown.

---

Entry 8:
Here is a geometry-optimized LaTm6Th structure from the Alexandria database. Energies are from PBE.

The space group is P-1 (No. 2) and the conventional cell measures 6.509, 6.512 and 7.476 Å, with angles of 114.94, 115.68 and 90.06 degrees. The asymmetric unit holds La at (0.000, 0.000, 0.000), Tm at (0.236, 0.555, 0.472), Tm at (0.253, 0.500, 0.000), Tm at (0.269, 0.084, 0.537) and Th at (0.500, 0.000, 0.000).

The value obtained for the energy above the most stable polymorph in this dataset is 188 meV per atom. Its formation energy is 0.22 eV/atom. For the total energy, the calculation gives -37.395 eV for the cell shown.